Record 1
Here is crystalline AcPrP at its relaxed geometry from Alexandria. Energies are from PBE.

## Properties
Energy above the most stable polymorph in this dataset, meV per atom: 142
E_form, eV per atom: -0.7402
Spin magnetization, μB per cell: 0.0
Raw total energy, eV per atom: -5.5062

Lattice parameters (Å, degrees): 5.077 5.077 5.077 60.00 60.00 60.00
Fractional coordinates of all 3 atoms:
Ac: 0.000 0.000 0.000
Pr: 0.500 0.500 0.500
P: 0.750 0.750 0.750

***

Record 2
Here is crystalline Ac5Pr3P8 at its relaxed geometry from Alexandria. Energies are from PBE.

## Properties
E_form, eV per atom: -1.4667
Spin magnetization, μB per cell: 0.0
Raw total energy, eV per atom: -6.3517

Lattice parameters (Å, degrees): 8.722 8.722 8.722 59.98 59.98 59.98
Fractional coordinates of all 16 atoms:
Ac: 0.000 0.000 0.000
Ac: 0.000 0.500 0.500
Ac: 0.500 0.000 0.500
Ac: 0.500 0.500 0.000
Ac: 0.500 0.500 0.500
Pr: 0.000 0.000 0.500
Pr: 0.000 0.500 0.000
Pr: 0.500 0.000 0.000
P: 0.242 0.750 0.750
P: 0.246 0.246 0.246
P: 0.250 0.250 0.758
P: 0.250 0.758 0.250
P: 0.750 0.242 0.750
P: 0.750 0.750 0.242
P: 0.754 0.754 0.754
P: 0.758 0.250 0.250

***

Record 3
Here is crystalline Ac5PrP6 at its relaxed geometry from Alexandria. Energies are from PBE.

## Properties
E_form, eV per atom: -1.4658
Spin magnetization, μB per cell: 0.0
Raw total energy, eV per atom: -6.2809

Lattice parameters (Å, degrees): 7.639 7.639 7.639 99.60 99.60 120.00
Fractional coordinates of all 12 atoms:
Ac: 0.000 0.000 0.000
Ac: 0.166 0.834 0.500
Ac: 0.333 0.667 0.000
Ac: 0.667 0.333 0.000
Ac: 0.834 0.166 0.500
Pr: 0.500 0.500 0.500
P: 0.091 0.418 0.254
P: 0.256 0.256 0.746
P: 0.418 0.091 0.254
P: 0.582 0.909 0.746
P: 0.744 0.744 0.254
P: 0.909 0.582 0.746